(1)
A plane-wave DFT calculation with PBE-GGA was carried out for a relaxed structure of CaLaTl.

Unit cell a=5.409 b=5.409 c=3.941 alpha=90.00 beta=90.00 gamma=120.00
Sites, in units of the cell vectors:
Ca  0.000  0.000  0.000
La  0.667  0.333  0.460
Tl  0.333  0.667  0.787

Crystal system: trigonal
Energy relative to the elements in eV per atom: -0.21
Energy above the lowest structure with this stoichiometry in meV per atom: 184.9
Space-group type: No. 156



(2)
A plane-wave DFT calculation with PBE-GGA was carried out for a relaxed structure of K3Na2TcO6.

Unit cell a=5.914 b=5.914 c=6.233 alpha=99.17 beta=99.17 gamma=119.77
Sites, in units of the cell vectors:
K  0.000  0.000  0.000
K  0.326  0.674  0.000
K  0.674  0.326  0.000
Na  0.166  0.834  0.500
Na  0.834  0.166  0.500
Tc  0.500  0.500  0.500
O  0.169  0.438  0.314
O  0.298  0.298  0.688
O  0.438  0.169  0.314
O  0.562  0.831  0.686
O  0.702  0.702  0.312
O  0.831  0.562  0.686

Crystal system: monoclinic
Energy relative to the elements, uncorrected in eV per atom: -1.5080
Space-group type: No. 12



(3)
A plane-wave DFT calculation with PBE-GGA was carried out for a relaxed structure of KCa2Cd.

Unit cell a=4.074 b=4.074 c=11.992 alpha=99.04 beta=99.04 gamma=60.36
Sites, in units of the cell vectors:
K  0.000  0.000  0.000
Ca  0.558  0.558  0.688
Ca  0.771  0.771  0.312
Cd  0.164  0.164  0.500

Crystal system: monoclinic
Energy relative to the elements in eV per atom: -0.02
Space-group type: No. 8



(4)
A plane-wave DFT calculation with PBE-GGA was carried out for a relaxed structure of Fe2SiMo.

Unit cell a=3.222 b=3.915 c=4.055 alpha=90.00 beta=90.00 gamma=90.00
Sites, in units of the cell vectors:
Fe  0.000  0.000  0.000
Fe  0.500  0.500  0.000
Si  0.000  0.500  0.500
Mo  0.500  0.000  0.500

Crystal system: orthorhombic
Energy relative to the elements, uncorrected in eV per atom: -0.1140
Space-group type: No. 47



(5)
A plane-wave DFT calculation with PBE-GGA was carried out for a relaxed structure of K3Tl4Bi2Pb2.

Unit cell a=5.521 b=5.521 c=15.488 alpha=90.00 beta=90.00 gamma=120.00
Sites, in units of the cell vectors:
K  0.000  0.000  0.000
K  0.000  0.000  0.261
K  0.000  0.000  0.739
Tl  0.333  0.667  0.362
Tl  0.333  0.667  0.916
Tl  0.667  0.333  0.084
Tl  0.667  0.333  0.638
Bi  0.333  0.667  0.140
Bi  0.667  0.333  0.860
Pb  0.333  0.667  0.563
Pb  0.667  0.333  0.437

Crystal system: trigonal
Energy relative to the elements in eV per atom: -0.10
Space-group type: No. 164



(6)
A plane-wave DFT calculation with PBE-GGA was carried out for a relaxed structure of Nd12Mg2In5.

Unit cell a=8.469 b=8.469 c=8.769 alpha=93.69 beta=93.69 gamma=70.24
Sites, in units of the cell vectors:
Nd  0.081  0.679  0.141
Nd  0.083  0.083  0.180
Nd  0.162  0.535  0.704
Nd  0.321  0.919  0.859
Nd  0.403  0.403  0.357
Nd  0.465  0.838  0.296
Nd  0.535  0.162  0.704
Nd  0.597  0.597  0.643
Nd  0.679  0.081  0.141
Nd  0.838  0.465  0.296
Nd  0.917  0.917  0.820
Nd  0.919  0.321  0.859
Mg  0.167  0.833  0.500
Mg  0.833  0.167  0.500
In  0.181  0.181  0.529
In  0.284  0.284  0.016
In  0.500  0.500  0.000
In  0.716  0.716  0.984
In  0.819  0.819  0.471

Crystal system: monoclinic
Energy relative to the elements in eV per atom: -0.19
Space-group type: No. 12



(7)
A plane-wave DFT calculation with PBE-GGA was carried out for a relaxed structure of SrOsAu.

Unit cell a=5.927 b=5.927 c=5.927 alpha=144.91 beta=144.39 gamma=50.86
Sites, in units of the cell vectors:
Sr  0.000  0.000  0.000
Os  0.712  0.712  0.000
Au  0.288  0.288  0.000

Crystal system: orthorhombic
Energy relative to the elements in eV per atom: 0.51
Energy above the lowest structure with this stoichiometry in meV per atom: 125.2
Space-group type: No. 44



(8)
A plane-wave DFT calculation with PBE-GGA was carried out for a relaxed structure of NpCoAsH2.

Unit cell a=5.462 b=5.462 c=5.734 alpha=90.00 beta=90.00 gamma=138.35
Sites, in units of the cell vectors:
Np  0.211  0.789  0.750
Np  0.789  0.211  0.250
Co  0.500  0.500  0.000
Co  0.500  0.500  0.500
As  0.072  0.928  0.250
As  0.928  0.072  0.750
H  0.343  0.657  0.067
H  0.343  0.657  0.433
H  0.657  0.343  0.567
H  0.657  0.343  0.933

Final energy in eV/atom: -6.642
Crystal system: orthorhombic
Space-group type: No. 63



(9)
A plane-wave DFT calculation with PBE-GGA was carried out for a relaxed structure of Ba2MgInAu.

Unit cell a=6.332 b=6.332 c=5.129 alpha=90.00 beta=90.00 gamma=90.00
Sites, in units of the cell vectors:
Ba  0.000  0.500  0.000
Ba  0.500  0.000  0.000
Mg  0.000  0.000  0.500
In  0.500  0.500  0.500
Au  0.000  0.000  0.000

Crystal system: tetragonal
Energy relative to the elements in eV per atom: -0.30
Space-group type: No. 123



(10)
A plane-wave DFT calculation with PBE-GGA was carried out for a relaxed structure of MnP2Pb.

Unit cell a=4.680 b=4.680 c=3.718 alpha=90.00 beta=90.00 gamma=106.72
Sites, in units of the cell vectors:
Mn  0.000  0.000  0.000
P  0.000  0.500  0.500
P  0.500  0.000  0.500
Pb  0.500  0.500  0.000

Crystal system: orthorhombic
Energy relative to the elements in eV per atom: 0.50
Space-group type: No. 65



(11)
A plane-wave DFT calculation with PBE-GGA was carried out for a relaxed structure of Er4CuRh2.

Unit cell a=7.211 b=7.249 c=7.342 alpha=108.37 beta=108.19 gamma=107.59
Sites, in units of the cell vectors:
Er  0.000  0.000  0.000
Er  0.054  0.557  0.177
Er  0.217  0.345  0.825
Er  0.382  0.117  0.463
Er  0.443  0.690  0.651
Er  0.574  0.165  0.053
Er  0.713  0.848  0.330
Er  0.865  0.510  0.600
Cu  0.158  0.897  0.647
Cu  0.666  0.516  0.888
Rh  0.032  0.274  0.383
Rh  0.280  0.787  0.010
Rh  0.421  0.422  0.273
Rh  0.762  0.153  0.756

Crystal system: triclinic
Energy relative to the elements in eV per atom: -0.61
Energy above the lowest structure with this stoichiometry in meV per atom: 0.0
Space-group type: No. 1



(12)
A plane-wave DFT calculation with PBE-GGA was carried out for a relaxed structure of Sm3Hg.

Unit cell a=3.698 b=3.698 c=8.956 alpha=90.00 beta=90.00 gamma=90.00
Sites, in units of the cell vectors:
Sm  0.000  0.000  0.000
Sm  0.500  0.500  0.279
Sm  0.500  0.500  0.721
Hg  0.000  0.000  0.500

Crystal system: tetragonal
Energy relative to the elements in eV per atom: -0.23
Energy above the lowest structure with this stoichiometry in meV per atom: 0.0
Space-group type: No. 123



Question: Which formula does entry 8 have?
Answer: NpCoAsH2